No. 1
Here is a relaxed OsAu2Br crystal from Alexandria via LeMat-Bulk. Energies are from PBE.

a b c (Å): 3.9931 3.9931 4.5931
angles (deg): 90.00 90.00 90.00
Space group P4/mmm (No. 123)
Inequivalent atoms, fractional coordinates:
Os (0.0000, 0.0000, 0.0000)
Au (0.0000, 0.5000, 0.5000)
Br (0.5000, 0.5000, 0.0000)

- Uncorrected formation energy: 1.178 eV per atom
- Final energy: -3.69 eV per atom
- Excess energy over the best structure of this formula in the dataset: 0.554 eV/atom

No. 2
Here is a relaxed PrEr2Hf crystal from Alexandria via LeMat-Bulk. Energies are from PBE.

a b c (Å): 4.8603 4.8603 4.9024
angles (deg): 90.00 90.00 90.00
Space group P4/mmm (No. 123)
Inequivalent atoms, fractional coordinates:
Pr (0.0000, 0.0000, 0.0000)
Er (0.0000, 0.5000, 0.5000)
Hf (0.5000, 0.5000, 0.0000)

- Final energy: -5.80 eV per atom
- ΔH_f (0 K): 0.162 eV/atom
- Excess energy over the best structure of this formula in the dataset: 0.048 eV/atom

No. 3
Here is a relaxed Tl2TcBr crystal from Alexandria via LeMat-Bulk. Energies are from PBE.

a b c (Å): 3.1933 4.5801 15.1253
angles (deg): 90.00 90.00 90.00
Space group Imm2 (No. 44)
Inequivalent atoms, fractional coordinates:
Tl (0.0000, 0.0000, 0.0000)
Tl (0.0000, 0.5000, 0.1616)
Tc (0.0000, 0.0000, 0.4643)
Br (0.0000, 0.5000, 0.8335)

- Uncorrected formation energy: 0.343 eV per atom
- Final energy: -3.85 eV per atom
- Excess energy over the best structure of this formula in the dataset: 0.002 eV/atom

No. 4
Here is a relaxed TbPmDy2Ho2 crystal from Alexandria via LeMat-Bulk. Energies are from PBE.

a b c (Å): 6.5774 17.6542 3.3813
angles (deg): 90.00 90.00 90.00
Space group Pnnm (No. 58)
Inequivalent atoms, fractional coordinates:
Tb (0.0000, 0.0000, 0.0000)
Pm (0.0000, 0.5000, 0.0000)
Dy (0.2268, 0.1496, 0.5000)
Ho (0.2295, 0.3173, 0.0000)

- Final energy: -4.35 eV per atom
- ΔH_f (0 K): 0.277 eV/atom

No. 5
Here is a relaxed ScNb2FeIr crystal from Alexandria via LeMat-Bulk. Energies are from PBE.

a b c (Å): 4.5027 4.5027 4.6271
angles (deg): 90.00 90.00 90.00
Space group P4/mmm (No. 123)
Inequivalent atoms, fractional coordinates:
Sc (0.0000, 0.0000, 0.0000)
Nb (0.0000, 0.5000, 0.5000)
Fe (0.0000, 0.0000, 0.5000)
Ir (0.5000, 0.5000, 0.0000)

- Final energy: -8.24 eV per atom
- ΔH_f (0 K): 0.523 eV/atom
- Excess energy over the best structure of this formula in the dataset: 0.000 eV/atom

No. 6
Here is a relaxed BaSnRu3 crystal from Alexandria via LeMat-Bulk. Energies are from PBE.

a b c (Å): 5.0543 5.0543 5.0543
angles (deg): 90.00 90.00 90.00
Space group Pm-3m (No. 221)
Inequivalent atoms, fractional coordinates:
Ba (0.0000, 0.0000, 0.0000)
Sn (0.5000, 0.5000, 0.5000)
Ru (0.0000, 0.0000, 0.5000)

- Final energy: -4.36 eV per atom
- ΔH_f (0 K): 2.387 eV/atom
- Excess energy over the best structure of this formula in the dataset: 1.272 eV/atom

No. 7
Here is a relaxed NbAlSbI2 crystal from Alexandria via LeMat-Bulk. Energies are from PBE.

a b c (Å): 5.3864 5.3864 5.3940
angles (deg): 90.00 90.00 90.00
Space group P4/mmm (No. 123)
Inequivalent atoms, fractional coordinates:
Nb (0.0000, 0.0000, 0.0000)
Al (0.5000, 0.5000, 0.5000)
Sb (0.5000, 0.5000, 0.0000)
I (0.0000, 0.5000, 0.5000)

- Uncorrected formation energy: 0.862 eV per atom
- Final energy: -3.35 eV per atom
- Excess energy over the best structure of this formula in the dataset: 0.460 eV/atom

No. 8
Here is a relaxed Ac6TbMg crystal from Alexandria via LeMat-Bulk. Energies are from PBE.

a b c (Å): 5.5809 5.5809 20.8913
angles (deg): 90.00 90.00 90.00
Space group I4/mmm (No. 139)
Inequivalent atoms, fractional coordinates:
Ac (0.0000, 0.0000, 0.2501)
Ac (0.0000, 0.5000, 0.1152)
Tb (0.0000, 0.0000, 0.0000)
Mg (0.0000, 0.0000, 0.5000)

- Final energy: -3.83 eV per atom
- ΔH_f (0 K): 0.031 eV/atom

No. 9
Here is a relaxed TbCe3 crystal from Alexandria via LeMat-Bulk. Energies are from PBE.

a b c (Å): 3.2994 5.4872 6.1823
angles (deg): 90.00 90.00 90.00
Space group Pmm2 (No. 25)
Inequivalent atoms, fractional coordinates:
Tb (0.0000, 0.0000, 0.0000)
Ce (0.0000, 0.5000, 0.2559)
Ce (0.5000, 0.0000, 0.5058)
Ce (0.5000, 0.5000, 0.7162)

- Final energy: -5.49 eV per atom
- ΔH_f (0 K): 0.120 eV/atom
- Excess energy over the best structure of this formula in the dataset: 0.019 eV/atom

No. 10
Here is a relaxed MgGe2Pt2 crystal from Alexandria via LeMat-Bulk. Energies are from PBE.

a b c (Å): 7.1891 7.1891 3.4030
angles (deg): 90.00 90.00 90.00
Space group P4/mbm (No. 127)
Inequivalent atoms, fractional coordinates:
Mg (0.0000, 0.0000, 0.0000)
Ge (0.1589, 0.3411, 0.5000)
Pt (0.1445, 0.6445, 0.0000)

- Final energy: -4.92 eV per atom
- ΔH_f (0 K): -0.334 eV/atom

No. 11
Here is a relaxed RbGeTeI2 crystal from Alexandria via LeMat-Bulk. Energies are from PBE.

a b c (Å): 6.0157 6.0157 5.5803
angles (deg): 90.00 90.00 90.00
Space group P4/mmm (No. 123)
Inequivalent atoms, fractional coordinates:
Rb (0.0000, 0.0000, 0.0000)
Ge (0.5000, 0.5000, 0.5000)
Te (0.5000, 0.5000, 0.0000)
I (0.0000, 0.5000, 0.5000)

- Uncorrected formation energy: -0.504 eV per atom
- Final energy: -2.87 eV per atom
- Excess energy over the best structure of this formula in the dataset: 0.000 eV/atom

No. 12
Here is a relaxed BaHfZr2 crystal from Alexandria via LeMat-Bulk. Energies are from PBE.

a b c (Å): 4.5800 4.5800 21.5342
angles (deg): 90.00 90.00 90.00
Space group I-42d (No. 122)
Inequivalent atoms, fractional coordinates:
Ba (0.0000, 0.0000, 0.0000)
Hf (0.0000, 0.0000, 0.5000)
Zr (0.2292, 0.2500, 0.6250)

- Final energy: -6.27 eV per atom
- ΔH_f (0 K): 0.969 eV/atom
- Excess energy over the best structure of this formula in the dataset: 0.576 eV/atom